*i*
Here is Cr3RuCl at its PBEsol-relaxed geometry from Alexandria. Energies are from SCAN.

## Properties
Calculated density (Mg/m³): 7.42
Space-group type: No. 221

Structure (CIF):
```
data_Cr3RuCl
_cell_length_a 4.030
_cell_length_b 4.030
_cell_length_c 4.030
_cell_angle_alpha 90.00
_cell_angle_beta 90.00
_cell_angle_gamma 90.00
_space_group_name_H-M_alt 'P 1'
_space_group_IT_number 1
_space_group_name_Hall 'P 1'
loop_
_atom_site_label
_atom_site_type_symbol
_atom_site_fract_x
_atom_site_fract_y
_atom_site_fract_z
Cr1 Cr 0.000 0.000 0.500
Cr2 Cr 0.000 0.500 0.000
Cr3 Cr 0.500 0.000 0.000
Ru1 Ru 0.500 0.500 0.500
Cl1 Cl 0.000 0.000 0.000
```

---

*ii*
Here is Cr3RuCl at its PBEsol-relaxed geometry from Alexandria. Energies are from SCAN.

## Properties
Calculated density (Mg/m³): 4.74
Space-group type: No. 221

Structure (CIF):
```
data_Cr3RuCl
_cell_length_a 4.681
_cell_length_b 4.681
_cell_length_c 4.681
_cell_angle_alpha 90.00
_cell_angle_beta 90.00
_cell_angle_gamma 90.00
_space_group_name_H-M_alt 'P 1'
_space_group_IT_number 1
_space_group_name_Hall 'P 1'
loop_
_atom_site_label
_atom_site_type_symbol
_atom_site_fract_x
_atom_site_fract_y
_atom_site_fract_z
Cr1 Cr 0.000 0.000 0.500
Cr2 Cr 0.000 0.500 0.000
Cr3 Cr 0.500 0.000 0.000
Ru1 Ru 0.000 0.000 0.000
Cl1 Cl 0.500 0.500 0.500
```

---

*ii* is the most stable structure; the next one sits 326 meV per atom above it.

---

*i*
Here is ScCrCl2 at its PBEsol-relaxed geometry from Alexandria. Energies are from SCAN.

## Properties
Calculated density (Mg/m³): 3.74
Space-group type: No. 38

Structure (CIF):
```
data_ScCrCl2
_cell_length_a 3.474
_cell_length_b 6.360
_cell_length_c 6.360
_cell_angle_alpha 32.03
_cell_angle_beta 90.00
_cell_angle_gamma 90.00
_space_group_name_H-M_alt 'P 1'
_space_group_IT_number 1
_space_group_name_Hall 'P 1'
loop_
_atom_site_label
_atom_site_type_symbol
_atom_site_fract_x
_atom_site_fract_y
_atom_site_fract_z
Sc1 Sc 0.000 0.000 0.000
Cr1 Cr 0.500 0.363 0.363
Cl1 Cl 0.000 0.226 0.226
Cl2 Cl 0.500 0.557 0.557
```

---

*ii*
Here is ScCrCl2 at its PBEsol-relaxed geometry from Alexandria. Energies are from SCAN.

## Properties
Calculated density (Mg/m³): 3.94
Space-group type: No. 99

Structure (CIF):
```
data_ScCrCl2
_cell_length_a 3.032
_cell_length_b 3.032
_cell_length_c 7.691
_cell_angle_alpha 90.00
_cell_angle_beta 90.00
_cell_angle_gamma 90.00
_space_group_name_H-M_alt 'P 1'
_space_group_IT_number 1
_space_group_name_Hall 'P 1'
loop_
_atom_site_label
_atom_site_type_symbol
_atom_site_fract_x
_atom_site_fract_y
_atom_site_fract_z
Sc1 Sc 0.000 0.000 0.000
Cr1 Cr 0.500 0.500 0.742
Cl1 Cl 0.000 0.000 0.617
Cl2 Cl 0.500 0.500 0.208
```

---

*iii*
Here is ScCrCl2 at its PBEsol-relaxed geometry from Alexandria. Energies are from SCAN.

## Properties
Calculated density (Mg/m³): 3.17
Space-group type: No. 123

Structure (CIF):
```
data_ScCrCl2
_cell_length_a 3.114
_cell_length_b 3.114
_cell_length_c 9.072
_cell_angle_alpha 90.00
_cell_angle_beta 90.00
_cell_angle_gamma 90.00
_space_group_name_H-M_alt 'P 1'
_space_group_IT_number 1
_space_group_name_Hall 'P 1'
loop_
_atom_site_label
_atom_site_type_symbol
_atom_site_fract_x
_atom_site_fract_y
_atom_site_fract_z
Sc1 Sc 0.000 0.000 0.000
Cr1 Cr 0.000 0.000 0.500
Cl1 Cl 0.500 0.500 0.166
Cl2 Cl 0.500 0.500 0.834
```

---

*i* is the most stable structure; the next one sits 114 meV per atom above it.

---

*i*
Here is CrSe2Cl at its PBEsol-relaxed geometry from Alexandria. Energies are from SCAN.

## Properties
Calculated density (Mg/m³): 4.60
Space-group type: No. 12

Structure (CIF):
```
data_CrSe2Cl
_cell_length_a 3.707
_cell_length_b 3.707
_cell_length_c 7.762
_cell_angle_alpha 104.78
_cell_angle_beta 104.78
_cell_angle_gamma 60.44
_space_group_name_H-M_alt 'P 1'
_space_group_IT_number 1
_space_group_name_Hall 'P 1'
loop_
_atom_site_label
_atom_site_type_symbol
_atom_site_fract_x
_atom_site_fract_y
_atom_site_fract_z
Cr1 Cr 0.000 0.000 0.000
Se1 Se 0.395 0.395 0.169
Se2 Se 0.605 0.605 0.831
Cl1 Cl 0.500 0.500 0.500
```

---

*ii*
Here is CrSe2Cl at its PBEsol-relaxed geometry from Alexandria. Energies are from SCAN.

## Properties
Calculated density (Mg/m³): 5.44
Space-group type: No. 99

Structure (CIF):
```
data_CrSe2Cl
_cell_length_a 2.834
_cell_length_b 2.834
_cell_length_c 9.335
_cell_angle_alpha 90.00
_cell_angle_beta 90.00
_cell_angle_gamma 90.00
_space_group_name_H-M_alt 'P 1'
_space_group_IT_number 1
_space_group_name_Hall 'P 1'
loop_
_atom_site_label
_atom_site_type_symbol
_atom_site_fract_x
_atom_site_fract_y
_atom_site_fract_z
Cr1 Cr 0.000 0.000 0.000
Se1 Se 0.000 0.000 0.495
Se2 Se 0.500 0.500 0.160
Cl1 Cl 0.500 0.500 0.844
```

---

*i* is the most stable structure; the next one sits 478 meV per atom above it.

---

*i*
Here is CrSeCl2 at its PBEsol-relaxed geometry from Alexandria. Energies are from SCAN.

## Properties
Calculated density (Mg/m³): 3.83
Space-group type: No. 71

Structure (CIF):
```
data_CrSeCl2
_cell_length_a 6.457
_cell_length_b 6.457
_cell_length_c 6.457
_cell_angle_alpha 153.11
_cell_angle_beta 133.70
_cell_angle_gamma 54.35
_space_group_name_H-M_alt 'P 1'
_space_group_IT_number 1
_space_group_name_Hall 'P 1'
loop_
_atom_site_label
_atom_site_type_symbol
_atom_site_fract_x
_atom_site_fract_y
_atom_site_fract_z
Cr1 Cr 0.000 0.000 0.000
Se1 Se 0.500 0.500 0.000
Cl1 Cl 0.155 0.655 0.500
Cl2 Cl 0.845 0.345 0.500
```

---

*ii*
Here is CrSeCl2 at its PBEsol-relaxed geometry from Alexandria. Energies are from SCAN.

## Properties
Calculated density (Mg/m³): 4.39
Space-group type: No. 47

Structure (CIF):
```
data_CrSeCl2
_cell_length_a 3.277
_cell_length_b 4.134
_cell_length_c 5.632
_cell_angle_alpha 90.00
_cell_angle_beta 90.00
_cell_angle_gamma 90.00
_space_group_name_H-M_alt 'P 1'
_space_group_IT_number 1
_space_group_name_Hall 'P 1'
loop_
_atom_site_label
_atom_site_type_symbol
_atom_site_fract_x
_atom_site_fract_y
_atom_site_fract_z
Cr1 Cr 0.000 0.000 0.000
Se1 Se 0.500 0.000 0.500
Cl1 Cl 0.000 0.500 0.500
Cl2 Cl 0.500 0.500 0.000
```

---

*i* is the most stable structure; the next one sits 452 meV per atom above it.

---

*i*
Here is CrTe2Cl at its PBEsol-relaxed geometry from Alexandria. Energies are from SCAN.

## Properties
Calculated density (Mg/m³): 5.71
Space-group type: No. 123

Structure (CIF):
```
data_CrTe2Cl
_cell_length_a 4.150
_cell_length_b 4.150
_cell_length_c 5.782
_cell_angle_alpha 90.00
_cell_angle_beta 90.00
_cell_angle_gamma 90.00
_space_group_name_H-M_alt 'P 1'
_space_group_IT_number 1
_space_group_name_Hall 'P 1'
loop_
_atom_site_label
_atom_site_type_symbol
_atom_site_fract_x
_atom_site_fract_y
_atom_site_fract_z
Cr1 Cr 0.000 0.000 0.000
Te1 Te 0.000 0.500 0.500
Te2 Te 0.500 0.000 0.500
Cl1 Cl 0.500 0.500 0.000
```

---

*ii*
Here is CrTe2Cl at its PBEsol-relaxed geometry from Alexandria. Energies are from SCAN.

## Properties
Calculated density (Mg/m³): 4.61
Space-group type: No. 122

Structure (CIF):
```
data_CrTe2Cl
_cell_length_a 7.279
_cell_length_b 7.279
_cell_length_c 7.279
_cell_angle_alpha 125.39
_cell_angle_beta 125.39
_cell_angle_gamma 80.90
_space_group_name_H-M_alt 'P 1'
_space_group_IT_number 1
_space_group_name_Hall 'P 1'
loop_
_atom_site_label
_atom_site_type_symbol
_atom_site_fract_x
_atom_site_fract_y
_atom_site_fract_z
Cr1 Cr 0.000 0.000 0.000
Cr2 Cr 0.750 0.250 0.500
Te1 Te 0.048 0.625 0.923
Te2 Te 0.375 0.298 0.423
Te3 Te 0.702 0.125 0.077
Te4 Te 0.875 0.952 0.577
Cl1 Cl 0.250 0.750 0.500
Cl2 Cl 0.500 0.500 0.000
```

---

*i* is the most stable structure; the next one sits 29 meV per atom above it.

---

*i*
Here is TlCrCl2 at its PBEsol-relaxed geometry from Alexandria. Energies are from SCAN.

## Properties
Calculated density (Mg/m³): 6.08
Space-group type: No. 123

Structure (CIF):
```
data_TlCrCl2
_cell_length_a 5.023
_cell_length_b 5.023
_cell_length_c 3.544
_cell_angle_alpha 90.00
_cell_angle_beta 90.00
_cell_angle_gamma 90.00
_space_group_name_H-M_alt 'P 1'
_space_group_IT_number 1
_space_group_name_Hall 'P 1'
loop_
_atom_site_label
_atom_site_type_symbol
_atom_site_fract_x
_atom_site_fract_y
_atom_site_fract_z
Tl1 Tl 0.000 0.000 0.000
Cr1 Cr 0.500 0.500 0.000
Cl1 Cl 0.000 0.500 0.500
Cl2 Cl 0.500 0.000 0.500
```

---

*ii*
Here is TlCrCl2 at its PBEsol-relaxed geometry from Alexandria. Energies are from SCAN.

## Properties
Calculated density (Mg/m³): 5.65
Space-group type: No. 65

Structure (CIF):
```
data_TlCrCl2
_cell_length_a 3.527
_cell_length_b 3.527
_cell_length_c 9.075
_cell_angle_alpha 90.00
_cell_angle_beta 90.00
_cell_angle_gamma 121.49
_space_group_name_H-M_alt 'P 1'
_space_group_IT_number 1
_space_group_name_Hall 'P 1'
loop_
_atom_site_label
_atom_site_type_symbol
_atom_site_fract_x
_atom_site_fract_y
_atom_site_fract_z
Tl1 Tl 0.000 0.000 0.000
Cr1 Cr 0.000 0.000 0.500
Cl1 Cl 0.500 0.500 0.320
Cl2 Cl 0.500 0.500 0.680
```

---

*ii* is the most stable structure; the next one sits 287 meV per atom above it.

---

*i*
Here is CrW2Cl at its PBEsol-relaxed geometry from Alexandria. Energies are from SCAN.

## Properties
Calculated density (Mg/m³): 10.45
Space-group type: No. 25

Structure (CIF):
```
data_CrW2Cl
_cell_length_a 3.090
_cell_length_b 3.604
_cell_length_c 6.496
_cell_angle_alpha 90.00
_cell_angle_beta 90.00
_cell_angle_gamma 90.00
_space_group_name_H-M_alt 'P 1'
_space_group_IT_number 1
_space_group_name_Hall 'P 1'
loop_
_atom_site_label
_atom_site_type_symbol
_atom_site_fract_x
_atom_site_fract_y
_atom_site_fract_z
Cr1 Cr 0.000 0.000 0.000
W1 W 0.000 0.000 0.341
W2 W 0.500 0.500 0.155
Cl1 Cl 0.500 0.500 0.770
```

---

*ii*
Here is CrW2Cl at its PBEsol-relaxed geometry from Alexandria. Energies are from SCAN.

## Properties
Calculated density (Mg/m³): 12.73
Space-group type: No. 160

Structure (CIF):
```
data_CrW2Cl
_cell_length_a 8.413
_cell_length_b 8.413
_cell_length_c 8.413
_cell_angle_alpha 19.73
_cell_angle_beta 19.73
_cell_angle_gamma 19.73
_space_group_name_H-M_alt 'P 1'
_space_group_IT_number 1
_space_group_name_Hall 'P 1'
loop_
_atom_site_label
_atom_site_type_symbol
_atom_site_fract_x
_atom_site_fract_y
_atom_site_fract_z
Cr1 Cr 0.000 0.000 0.000
W1 W 0.255 0.255 0.255
W2 W 0.498 0.498 0.498
Cl1 Cl 0.742 0.742 0.742
```

---

*ii* is the most stable structure; the next one sits 136 meV per atom above it.

---

*i*
Here is ZnCrCl at its PBEsol-relaxed geometry from Alexandria. Energies are from SCAN.

## Properties
Calculated density (Mg/m³): 4.12
Space-group type: No. 216

Structure (CIF):
```
data_ZnCrCl
_cell_length_a 4.433
_cell_length_b 4.433
_cell_length_c 4.433
_cell_angle_alpha 60.00
_cell_angle_beta 60.00
_cell_angle_gamma 60.00
_space_group_name_H-M_alt 'P 1'
_space_group_IT_number 1
_space_group_name_Hall 'P 1'
loop_
_atom_site_label
_atom_site_type_symbol
_atom_site_fract_x
_atom_site_fract_y
_atom_site_fract_z
Zn1 Zn 0.000 0.000 0.000
Cr1 Cr 0.750 0.750 0.750
Cl1 Cl 0.500 0.500 0.500
```

---

*ii*
Here is ZnCrCl at its PBEsol-relaxed geometry from Alexandria. Energies are from SCAN.

## Properties
Calculated density (Mg/m³): 3.88
Space-group type: No. 216

Structure (CIF):
```
data_ZnCrCl
_cell_length_a 4.521
_cell_length_b 4.521
_cell_length_c 4.521
_cell_angle_alpha 60.00
_cell_angle_beta 60.00
_cell_angle_gamma 60.00
_space_group_name_H-M_alt 'P 1'
_space_group_IT_number 1
_space_group_name_Hall 'P 1'
loop_
_atom_site_label
_atom_site_type_symbol
_atom_site_fract_x
_atom_site_fract_y
_atom_site_fract_z
Zn1 Zn 0.000 0.000 0.000
Cr1 Cr 0.250 0.250 0.250
Cl1 Cl 0.750 0.750 0.750
```

---

*i* is the most stable structure; the next one sits 313 meV per atom above it.